Compound: Nd2SmDy9
Source: the Alexandria database
Functional: GGA-PBE
Structure: relaxed

abc: 11.3034 11.3034 3.5093
angles: 90.00 90.00 120.00
Element x y z (fractional)
1 Nd 0.3333 0.6667 0.0000
2 Nd 0.6667 0.3333 0.0000
3 Sm 0.0000 0.0000 0.0000
4 Dy 0.0000 0.5000 0.0000
5 Dy 0.1746 0.3492 0.5000
6 Dy 0.1746 0.8254 0.5000
7 Dy 0.3492 0.1746 0.5000
8 Dy 0.5000 0.0000 0.0000
9 Dy 0.5000 0.5000 0.0000
10 Dy 0.6508 0.8254 0.5000
11 Dy 0.8254 0.1746 0.5000
12 Dy 0.8254 0.6508 0.5000

## Properties
- density (Mg/m³) = 8.1
- DFT total energy (eV per atom) = -4.58
- relative energy among the computed polymorphs (meV/atom) = 41
- Fermi-level density of states (states/eV/cell) = 17.9
- SG = P6/mmm
- ΔH_f (0 K) (eV per atom) = 0.061

***

Compound: Nd2SmDy
Source: the Alexandria database
Functional: GGA-PBE
Structure: relaxed

abc: 5.7735 5.7735 5.7735
angles: 60.00 60.00 60.00
Element x y z (fractional)
1 Nd 0.2500 0.2500 0.2500
2 Nd 0.7500 0.7500 0.7500
3 Sm 0.0000 0.0000 0.0000
4 Dy 0.5000 0.5000 0.5000

## Properties
- density (Mg/m³) = 7.3
- DFT total energy (eV per atom) = -4.59
- relative energy among the computed polymorphs (meV/atom) = 116
- Fermi-level density of states (states/eV/cell) = 9.0
- SG = Fm-3m
- ΔH_f (0 K) (eV per atom) = 0.129

***

Compound: Nd4SmDy
Source: the Alexandria database
Functional: GGA-PBE
Structure: relaxed

abc: 8.1581 8.1581 5.1647
angles: 90.00 90.00 143.04
Element x y z (fractional)
1 Nd 0.1652 0.8348 0.0000
2 Nd 0.3342 0.6658 0.5000
3 Nd 0.6658 0.3342 0.5000
4 Nd 0.8348 0.1652 0.0000
5 Sm 0.5000 0.5000 0.0000
6 Dy 0.0000 0.0000 0.5000

## Properties
- density (Mg/m³) = 7.2
- DFT total energy (eV per atom) = -4.72
- relative energy among the computed polymorphs (meV/atom) = 0
- Fermi-level density of states (states/eV/cell) = 8.9
- SG = Cmmm
- ΔH_f (0 K) (eV per atom) = 0.016

***

Compound: Nd7Sm6Dy16
Source: the Alexandria database
Functional: GGA-PBE
Structure: relaxed

abc: 11.2619 11.2619 11.2619
angles: 60.00 60.00 60.00
Element x y z (fractional)
1 Nd 0.0000 0.0000 0.0000
2 Nd 0.0000 0.0000 0.5000
3 Nd 0.0000 0.5000 0.0000
4 Nd 0.0000 0.5000 0.5000
5 Nd 0.5000 0.0000 0.0000
6 Nd 0.5000 0.0000 0.5000
7 Nd 0.5000 0.5000 0.0000
8 Sm 0.2639 0.2639 0.7361
9 Sm 0.2639 0.7361 0.2639
10 Sm 0.2639 0.7361 0.7361
11 Sm 0.7361 0.2639 0.2639
12 Sm 0.7361 0.2639 0.7361
13 Sm 0.7361 0.7361 0.2639
14 Dy 0.0478 0.6507 0.6507
15 Dy 0.1287 0.1287 0.1287
16 Dy 0.1287 0.1287 0.6139
17 Dy 0.1287 0.6139 0.1287
18 Dy 0.3493 0.3493 0.3493
19 Dy 0.3493 0.3493 0.9522
20 Dy 0.3493 0.9522 0.3493
21 Dy 0.3861 0.8713 0.8713
22 Dy 0.6139 0.1287 0.1287
23 Dy 0.6507 0.0478 0.6507
24 Dy 0.6507 0.6507 0.0478
25 Dy 0.6507 0.6507 0.6507
26 Dy 0.8713 0.3861 0.8713
27 Dy 0.8713 0.8713 0.3861
28 Dy 0.8713 0.8713 0.8713
29 Dy 0.9522 0.3493 0.3493

## Properties
- density (Mg/m³) = 7.4
- DFT total energy (eV per atom) = -4.42
- Fermi-level density of states (states/eV/cell) = 51.7
- SG = Fm-3m
- ΔH_f (0 K) (eV per atom) = 0.242